The following is a PBEsol calculation of a geometry-optimized Re2PSe structure, from Alexandria.

Results
**Crystal system**: monoclinic
**ΔE to the lowest computed polymorph**: 0.000 eV per atom
**DOS(E_F)**: 1.6 states/eV/f.u.

abc: 8.094 3.075 5.056
angles: 90.00 105.33 90.00
Space group Cm (No. 8)
Unique sites:
Re: 0.000 0.000 0.000
Re: 0.227 0.000 0.601
P: 0.209 0.500 0.953
Se: 0.480 0.000 0.391

The following is a PBEsol calculation of a geometry-optimized Na2TaPbBr structure, from Alexandria.

Results
**Crystal system**: tetragonal
**DOS(E_F)**: 2.9 states/eV/f.u.

abc: 4.910 4.910 6.142
angles: 90.00 90.00 90.00
Space group P4/mmm (No. 123)
Unique sites:
Na: 0.000 0.500 0.000
Ta: 0.000 0.000 0.500
Pb: 0.500 0.500 0.500
Br: 0.500 0.500 0.000

The following is a PBEsol calculation of a geometry-optimized YGaC2 structure, from Alexandria.

Results
**Crystal system**: tetragonal
**DOS(E_F)**: 2.1 states/eV/f.u.
**Energy relative to the elements**: 16.31 kcal/mol of atoms

abc: 4.447 4.447 11.956
angles: 90.00 90.00 90.00
Space group I-42d (No. 122)
Unique sites:
Y: 0.000 0.000 0.000
Ga: 0.000 0.000 0.500
C: 0.147 0.250 0.625

The following is a PBEsol calculation of a geometry-optimized BaTa2As structure, from Alexandria.

Results
**Crystal system**: cubic
**DOS(E_F)**: 4.8 states/eV/f.u.
**Energy relative to the elements**: 18.62 kcal/mol of atoms

abc: 7.017 7.017 7.017
angles: 90.00 90.00 90.00
Space group F-43m (No. 216)
Unique sites:
Ba: 0.000 0.000 0.000
Ta: 0.000 0.000 0.500
Ta: 0.250 0.250 0.750
As: 0.250 0.250 0.250

Number 1: E_tot -9.05 eV per atom. Number 2: E_tot -3.45 eV per atom. Number 3: E_tot -6.66 eV per atom. Number 4: E_tot -7.28 eV per atom.